Here is a relaxed structure of Be5Fe3 from Alexandria via LeMat-Bulk. Energies are from PBE.

It has space group C2/m (No. 12), with a = 4.292 Å, b = 11.821 Å, c = 6.276 Å, α = 90.00°, β = 109.91° and γ = 90.00°. The inequivalent atoms are Be at (0.090, 0.150, 0.180), Be at (0.149, 0.410, 0.299), Be at (0.250, 0.000, 0.000), Fe at (0.000, 0.250, 0.500), Fe at (0.000, 0.308, 0.000) and Fe at (0.191, 0.000, 0.383).

The offset from the most stable computed form comes out at 160.8 meV per atom. As for the total energy: -175.9 eV for the cell shown. As for the formation energy: 1 kJ/mol of atoms. For the magnetization, the calculation gives 5.7 μB per formula unit.